Below is an optimized crystal structure of Nd2Y2Al, with properties calculated at the PBE-GGA level.

Unit cell a=3.5671 b=3.5671 c=23.7125 alpha=90.00 beta=90.00 gamma=90.00
Fractional coordinates of all 10 atoms:
Nd1 0.0000 0.0000 0.1925
Nd2 0.0000 0.0000 0.8075
Nd3 0.5000 0.5000 0.3075
Nd4 0.5000 0.5000 0.6925
Y1 0.0000 0.0000 0.4199
Y2 0.0000 0.0000 0.5801
Y3 0.5000 0.5000 0.0801
Y4 0.5000 0.5000 0.9199
Al1 0.0000 0.0000 0.0000
Al2 0.5000 0.5000 0.5000

Output
Space group = I4/mmm
Energy above the most stable polymorph in this dataset = 0 kJ/mol of formula units
DOS at the Fermi energy = 10.95 states/eV per cell
Formation energy from the elements = -160 meV per atom


Below is an optimized crystal structure of TaRe3S, with properties calculated at the PBE-GGA level.

Unit cell a=4.8013 b=4.8013 c=4.8013 alpha=90.00 beta=90.00 gamma=90.00
Fractional coordinates of all 5 atoms:
Ta1 0.0000 0.0000 0.0000
Re1 0.0000 0.0000 0.5000
Re2 0.0000 0.5000 0.0000
Re3 0.5000 0.0000 0.0000
S1 0.5000 0.5000 0.5000

Output
Space group = Pm-3m
E_form (uncorrected) = 2.745 eV/atom
Energy above the most stable polymorph in this dataset = 966 kJ/mol of formula units
DOS at the Fermi energy = 7.32 states/eV per cell


Below is an optimized crystal structure of CsLi3Th2Se6, with properties calculated at the PBE-GGA level.

Unit cell a=8.6951 b=8.6951 c=10.4376 alpha=96.44 beta=96.44 gamma=28.77
Fractional coordinates of all 12 atoms:
Cs1 0.0000 0.0000 0.0000
Li1 0.0000 0.0000 0.5000
Li2 0.3544 0.3544 0.3028
Li3 0.6456 0.6456 0.6972
Th1 0.3324 0.3324 0.6597
Th2 0.6676 0.6676 0.3403
Se1 0.1601 0.1601 0.5427
Se2 0.2096 0.2096 0.1793
Se3 0.4966 0.4966 0.7077
Se4 0.5034 0.5034 0.2923
Se5 0.7904 0.7904 0.8207
Se6 0.8399 0.8399 0.4573

Output
Space group = C2/m
E_form (uncorrected) = -1.478 eV/atom
DOS at the Fermi energy = 0.00 states/eV per cell


Below is an optimized crystal structure of Y3Ge2Pb, with properties calculated at the PBE-GGA level.

Unit cell a=4.3915 b=16.1208 c=4.2426 alpha=90.00 beta=90.00 gamma=90.00
Fractional coordinates of all 12 atoms:
Y1 0.0000 0.0000 0.0000
Y2 0.0000 0.1716 0.5000
Y3 0.0000 0.8284 0.5000
Y4 0.5000 0.3284 0.5000
Y5 0.5000 0.5000 0.0000
Y6 0.5000 0.6716 0.5000
Ge1 0.0000 0.3402 0.0000
Ge2 0.0000 0.6598 0.0000
Ge3 0.5000 0.1598 0.0000
Ge4 0.5000 0.8402 0.0000
Pb1 0.0000 0.5000 0.5000
Pb2 0.5000 0.0000 0.5000

Output
Space group = Cmmm
DOS at the Fermi energy = 7.36 states/eV per cell
Formation energy from the elements = -571 meV per atom


Below is an optimized crystal structure of TmMgSnAu, with properties calculated at the PBE-GGA level.

Unit cell a=7.1050 b=7.1050 c=7.1050 alpha=90.00 beta=90.00 gamma=90.00
Fractional coordinates of all 16 atoms:
Tm1 0.0000 0.0000 0.0000
Tm2 0.0000 0.5000 0.5000
Tm3 0.5000 0.0000 0.5000
Tm4 0.5000 0.5000 0.0000
Mg1 0.0000 0.0000 0.5000
Mg2 0.0000 0.5000 0.0000
Mg3 0.5000 0.0000 0.0000
Mg4 0.5000 0.5000 0.5000
Sn1 0.2500 0.2500 0.2500
Sn2 0.2500 0.7500 0.7500
Sn3 0.7500 0.2500 0.7500
Sn4 0.7500 0.7500 0.2500
Au1 0.2500 0.2500 0.7500
Au2 0.2500 0.7500 0.2500
Au3 0.7500 0.2500 0.2500
Au4 0.7500 0.7500 0.7500

Output
Space group = F-43m
DOS at the Fermi energy = 4.79 states/eV per cell
Formation energy from the elements = -587 meV per atom


Below is an optimized crystal structure of PdPt3C, with properties calculated at the PBE-GGA level.

Unit cell a=4.1701 b=4.1701 c=4.1701 alpha=90.00 beta=90.00 gamma=90.00
Fractional coordinates of all 5 atoms:
Pd1 0.0000 0.0000 0.0000
Pt1 0.0000 0.5000 0.5000
Pt2 0.5000 0.0000 0.5000
Pt3 0.5000 0.5000 0.0000
C1 0.5000 0.5000 0.5000

Output
Space group = Pm-3m
Energy above the most stable polymorph in this dataset = 0 kJ/mol of formula units
DOS at the Fermi energy = 4.49 states/eV per cell
Formation energy from the elements = 379 meV per atom


Below is an optimized crystal structure of K3La2ErSe6, with properties calculated at the PBE-GGA level.

Unit cell a=7.5469 b=7.5469 c=8.0875 alpha=98.96 beta=98.96 gamma=120.00
Fractional coordinates of all 12 atoms:
K1 0.0000 0.0000 0.0000
K2 0.3320 0.6680 0.0000
K3 0.6680 0.3320 0.0000
La1 0.1665 0.8335 0.5000
La2 0.8335 0.1665 0.5000
Er1 0.5000 0.5000 0.5000
Se1 0.1102 0.4304 0.2913
Se2 0.2496 0.2496 0.7084
Se3 0.4304 0.1102 0.2913
Se4 0.5696 0.8898 0.7087
Se5 0.7504 0.7504 0.2916
Se6 0.8898 0.5696 0.7087

Output
Space group = C2/m
E_form (uncorrected) = -1.801 eV/atom
DOS at the Fermi energy = 0.00 states/eV per cell


Below is an optimized crystal structure of ZrTcW4, with properties calculated at the PBE-GGA level.

Unit cell a=5.3081 b=5.3081 c=5.3081 alpha=60.00 beta=60.00 gamma=60.00
Fractional coordinates of all 6 atoms:
Zr1 0.0000 0.0000 0.0000
Tc1 0.7500 0.7500 0.7500
W1 0.3746 0.3746 0.3746
W2 0.3746 0.3746 0.8761
W3 0.3746 0.8761 0.3746
W4 0.8761 0.3746 0.3746

Output
Space group = F-43m
DOS at the Fermi energy = 9.44 states/eV per cell
Formation energy from the elements = 230 meV per atom